1.
Computed, not measured: a relaxed Ba6As2SCl2 crystal at the GGA-PBE level of DFT.

a b c (Å): 8.1329 8.1329 8.1145
angles (deg): 99.85 99.85 119.75
Positions (direct):
1 Ba 0.0805 0.4105 0.2323
2 Ba 0.2544 0.2544 0.7700
3 Ba 0.4105 0.0805 0.2323
4 Ba 0.5895 0.9195 0.7677
5 Ba 0.7456 0.7456 0.2300
6 Ba 0.9195 0.5895 0.7677
7 As 0.3324 0.6676 0.0000
8 As 0.6676 0.3324 0.0000
9 S 0.0000 0.0000 0.0000
10 Cl 0.1685 0.8315 0.5000
11 Cl 0.8315 0.1685 0.5000

Computed properties:
uncorrected energy = -46.069 eV for the cell shown
raw formation energy = -1.583 eV/atom
space group = C2/m (12)

2.
Computed, not measured: a relaxed Pu4CS2Cl crystal at the GGA-PBE level of DFT.

a b c (Å): 6.6865 3.8449 6.7837
angles (deg): 90.00 109.08 90.00
Positions (direct):
1 Pu 0.2240 0.0000 0.2195
2 Pu 0.2399 0.5000 0.7697
3 Pu 0.7601 0.5000 0.2303
4 Pu 0.7760 0.0000 0.7805
5 C 0.0000 0.5000 0.0000
6 S 0.5000 0.0000 0.0000
7 S 0.5000 0.5000 0.5000
8 Cl 0.0000 0.0000 0.5000

Computed properties:
uncorrected energy = -85.789 eV for the cell shown
raw formation energy = -1.142 eV/atom
space group = P2/m (10)

3.
Computed, not measured: a relaxed NbVZnFe crystal at the GGA-PBE level of DFT.

a b c (Å): 4.2968 4.2968 4.2968
angles (deg): 60.00 60.00 60.00
Positions (direct):
1 Nb 0.0000 0.0000 0.0000
2 V 0.7500 0.7500 0.7500
3 Zn 0.5000 0.5000 0.5000
4 Fe 0.2500 0.2500 0.2500

Computed properties:
energy of formation = 0.072 eV per atom
uncorrected energy = -28.639 eV for the cell shown
space group = F-43m (216)